No. 1
Below is crystalline RbNaAu3 at its relaxed geometry, with properties calculated at the PBE level.

Calculated values
- Formation energy from the elements: 16.24 kcal/mol of atoms
- Calculated volume: 47.30 A^3/atom
- Energy relative to the lowest polymorph listed for this composition: 0.495 eV/atom
- Uncorrected energy: -8.60 eV per cell

POSCAR file:
```
RbNaAu3
1.0
-5.7712 -0.5842 -2.1433
-1.3690 -3.7635 4.7121
-1.7495 4.8721 3.3830
Na Au Rb
1 3 1
Cartesian
-4.4449 0.2622 2.9759
-0.6845 -1.8817 2.3560
-0.8748 2.4360 1.6915
-2.8856 -0.2921 -1.0717
0.0000 0.0000 0.0000
```

=====

No. 2
Below is crystalline SiIrW4 at its relaxed geometry, with properties calculated at the PBE level.

Calculated values
- Calculated volume: 16.70 A^3/atom
- Uncorrected energy: -61.88 eV per cell

POSCAR file:
```
SiIrW4
1.0
0.0000 3.6863 3.6863
3.6863 0.0000 3.6863
3.6863 3.6863 0.0000
Si Ir W
1 1 4
Cartesian
0.0000 0.0000 0.0000
5.5294 5.5294 5.5294
2.7579 4.6146 4.6146
4.6146 4.6146 2.7579
4.6146 2.7579 4.6146
2.7579 2.7579 2.7579
```

=====

No. 3
Below is crystalline ThScAlRu at its relaxed geometry, with properties calculated at the PBE level.

Calculated values
- Formation energy from the elements: -7.25 kcal/mol of atoms
- Calculated volume: 21.19 A^3/atom
- Uncorrected energy: -28.03 eV per cell

POSCAR file:
```
ThScAlRu
1.0
4.9305 0.0000 0.0000
2.4653 4.2700 0.0000
2.4653 1.4233 4.0258
Sc Ru Al Th
1 1 1 1
Cartesian
0.0000 0.0000 0.0000
7.3958 4.2700 3.0193
2.4653 1.4233 1.0064
4.9305 2.8466 2.0129
```

=====

No. 4
Below is crystalline ZrTl3I7 at its relaxed geometry, with properties calculated at the PBE level.

Calculated values
- Calculated volume: 43.74 A^3/atom
- Uncorrected energy: -34.13 eV per cell

POSCAR file:
```
ZrTl3I7
1.0
7.1019 0.3989 3.6997
-1.2445 7.0034 3.6997
-0.2589 -0.3272 9.2517
Zr Tl I
1 3 7
Cartesian
5.5160 6.9708 7.4644
5.2812 1.7182 8.3279
2.7857 3.5204 12.0008
0.4580 5.5347 8.3279
0.8251 1.0427 2.2763
4.2091 1.1902 4.7749
6.2879 2.3479 11.6013
0.1906 4.3700 4.7749
3.6917 4.6653 8.5568
0.8395 6.6593 11.6013
4.4328 5.6020 14.1860
```

=====

No. 5
Below is crystalline CdInHg2I at its relaxed geometry, with properties calculated at the PBE level.

Calculated values
- Calculated volume: 42.15 A^3/atom
- Energy relative to the lowest polymorph listed for this composition: 0.048 eV/atom
- Uncorrected energy: -5.80 eV per cell

POSCAR file:
```
CdInHg2I
1.0
5.8425 0.0000 0.0000
0.0000 5.8425 0.0000
0.0000 0.0000 6.1736
I Cd Hg In
1 1 2 1
Cartesian
0.0000 0.0000 3.0868
2.9213 2.9213 3.0868
0.0000 2.9213 0.0000
2.9213 0.0000 0.0000
0.0000 0.0000 0.0000
```

=====

No. 6
Below is crystalline Ac4Pm3Ho2 at its relaxed geometry, with properties calculated at the PBE level.

Calculated values
- Formation energy from the elements: 1.15 kcal/mol of atoms
- Calculated volume: 38.06 A^3/atom
- Uncorrected energy: -39.39 eV per cell

POSCAR file:
```
Ac4Pm3Ho2
1.0
-4.1106 3.4834 -0.3612
-5.5285 -2.5688 -2.1035
-4.7600 -4.6722 9.1282
Ac Pm Ho
4 3 2
Cartesian
-10.6620 -3.5490 6.4693
-7.0846 -4.0912 0.9371
-7.3145 0.3336 5.7264
-3.7370 -0.2086 0.1943
-5.3410 -1.7825 3.2693
0.0000 0.0000 0.0000
-9.0580 -1.9751 3.3943
-6.9214 -3.3444 6.2095
-7.4777 -0.4132 0.4541
```

=====

No. 7
Below is crystalline KPrCd2Br8 at its relaxed geometry, with properties calculated at the PBE level.

Calculated values
- Calculated volume: 34.41 A^3/atom
- Uncorrected energy: -36.47 eV per cell

POSCAR file:
```
KPrCd2Br8
1.0
7.0652 0.0081 0.0100
0.0709 6.6484 0.0125
0.0261 0.0360 8.7921
K Pr Cd Br
1 1 2 8
Cartesian
0.0131 0.0180 4.3961
0.0000 0.0000 0.0000
3.5802 3.3428 6.5622
3.5820 3.3498 2.2525
1.2567 4.9257 2.0302
4.6881 4.8862 0.0173
5.8798 1.7335 2.0224
5.9055 1.7668 6.7844
2.4741 1.8064 8.7973
1.2824 4.9591 6.7923
4.4614 4.8962 4.4126
2.7008 1.7964 4.4020
```

=====

No. 8
Below is crystalline Tb2Nd5Er12 at its relaxed geometry, with properties calculated at the PBE level.

Calculated values
- Formation energy from the elements: 4.10 kcal/mol of atoms
- Calculated volume: 32.65 A^3/atom
- Energy relative to the lowest polymorph listed for this composition: 0.058 eV/atom
- Uncorrected energy: -84.47 eV per cell

POSCAR file:
```
Tb2Nd5Er12
1.0
7.0212 0.0000 0.0000
-3.5106 8.5892 3.1182
0.0000 0.2093 10.3633
Tb Nd Er
2 5 12
Cartesian
5.1065 0.0000 0.0000
1.9147 0.0000 0.0000
0.0000 3.3952 9.6474
0.0000 5.5195 4.1704
0.0000 0.1046 5.1817
3.5106 3.2790 9.3112
3.5106 5.4033 3.8341
3.5106 8.2117 5.5160
-1.7755 6.0571 11.1316
1.7755 6.0571 11.1316
-1.7359 5.9012 7.5027
1.7359 5.9012 7.5027
0.0000 8.6894 10.0933
3.5106 0.1091 3.3882
5.2465 2.8973 5.9789
1.7747 2.8973 5.9789
5.2862 2.7414 2.3500
1.7351 2.7414 2.3500
0.0000 0.5868 7.9655
```

=====

No. 9
Below is crystalline TaReSi3 at its relaxed geometry, with properties calculated at the PBE level.

Calculated values
- Calculated volume: 22.09 A^3/atom
- Energy relative to the lowest polymorph listed for this composition: 0.483 eV/atom
- Uncorrected energy: -32.24 eV per cell

POSCAR file:
```
TaReSi3
1.0
-0.5273 -4.2829 -2.0980
3.8613 0.8555 -2.7169
2.7991 -1.9869 3.3526
Re Si Ta
1 3 1
Cartesian
3.0666 -2.7071 -0.7311
1.9306 0.4277 -1.3584
1.3996 -0.9934 1.6763
-0.2636 -2.1414 -1.0490
0.0000 0.0000 0.0000
```

=====

No. 10
Below is crystalline Cs6NbI12 at its relaxed geometry, with properties calculated at the PBE level.

Calculated values
- Calculated volume: 66.30 A^3/atom
- Uncorrected energy: -53.47 eV per cell

POSCAR file:
```
Cs6NbI12
1.0
-8.0215 -6.3006 -3.6366
6.5947 -6.6542 -5.4312
0.8238 -7.1247 8.1133
Cs Nb I
6 1 12
Cartesian
-5.9983 -11.7489 -0.5242
-3.0950 -7.8466 -5.2484
-3.0357 -8.3124 4.5146
5.3954 -8.3305 -0.4303
2.4921 -12.2329 4.2939
2.4328 -11.7670 -5.4691
0.0000 0.0000 0.0000
4.8173 -11.6363 -2.4203
-4.5443 -11.2762 -4.0822
-1.3153 -11.7978 4.8527
-5.4202 -8.4432 1.4659
3.9414 -8.8033 3.1278
0.7124 -8.2816 -5.8071
5.5777 -12.0616 1.4875
4.4987 -8.2404 -4.5063
0.9349 -8.6216 5.7656
-6.1806 -8.0179 -2.4419
-5.1016 -11.8391 3.5519
-1.5378 -11.4578 -6.7200
```

=====

No. 11
Below is crystalline NbCu2HPd at its relaxed geometry, with properties calculated at the PBE level.

Calculated values
- Calculated volume: 12.22 A^3/atom
- Uncorrected energy: -26.40 eV per cell

POSCAR file:
```
NbCu2HPd
1.0
4.0005 0.0000 0.0000
0.0000 4.0005 0.0000
0.0000 0.0000 3.8176
H Nb Cu Pd
1 1 2 1
Cartesian
0.0000 0.0000 0.0000
0.0000 0.0000 1.9088
0.0000 2.0003 0.0000
2.0003 0.0000 0.0000
2.0003 2.0003 1.9088
```

=====

No. 12
Below is crystalline K3HoCu2F9 at its relaxed geometry, with properties calculated at the PBE level.

Calculated values
- Calculated volume: 15.74 A^3/atom
- Uncorrected energy: -73.07 eV per cell

POSCAR file:
```
K3HoCu2F9
1.0
5.9985 0.0000 0.0000
-2.9993 5.1949 0.0000
0.0000 0.0000 7.5763
K Ho Cu F
3 1 2 9
Cartesian
0.0000 3.4633 5.4264
0.0000 0.0000 0.0000
2.9993 1.7316 2.1499
0.0000 0.0000 3.7881
0.0000 3.4633 1.1741
2.9993 1.7316 6.4022
4.4991 0.8657 5.0780
2.9993 3.4635 5.0780
1.4994 0.8657 5.0780
1.4999 4.3292 2.4983
0.0000 1.7314 2.4983
-1.4999 4.3292 2.4983
2.9993 0.0000 0.0000
-1.4996 2.5974 0.0000
1.4996 2.5974 0.0000
```